Entry 1:
{
  "formula": "NaAcSn2I8",
  "functional": "PBE-GGA",
  "state": "relaxed",
  "m_tot_mub_per_cell": 0.00,
  "total_energy_ev_per_atom": -3.10,
  "sg": "No. 10",
  "e_form_raw_ev_per_atom": -0.944,
  "lattice": [[-1.211, -5.619, 5.356], [5.640, -3.952, -2.664], [5.921, 4.419, 5.975]],
  "species": ["Na", "Ac", "Sn", "Sn", "I", "I", "I", "I", "I", "I", "I", "I"],
  "fractional_positions": [[0.000, 0.000, 0.500], [0.000, 0.000, 0.000], [0.500, 0.500, 0.737], [0.500, 0.500, 0.263], [0.159, 0.751, 0.255], [0.659, 0.748, 0.000], [0.841, 0.249, 0.255], [0.841, 0.249, 0.745], [0.341, 0.252, 0.000], [0.159, 0.751, 0.745], [0.650, 0.736, 0.500], [0.350, 0.264, 0.500]]
}

Entry 2:
{
  "formula": "NaSrAcI6",
  "functional": "PBE-GGA",
  "state": "relaxed",
  "m_tot_mub_per_cell": 0.00,
  "total_energy_ev_per_atom": -3.34,
  "sg": "No. 102",
  "e_form_raw_ev_per_atom": -1.512,
  "lattice": [[-4.185, -3.324, -5.619], [6.461, -1.156, -4.129], [1.771, -13.124, 6.445]],
  "species": ["Na", "Na", "Sr", "Sr", "Ac", "Ac", "I", "I", "I", "I", "I", "I", "I", "I", "I", "I", "I", "I"],
  "fractional_positions": [[0.500, 0.500, 0.167], [0.000, 0.000, 0.667], [0.500, 0.500, 0.499], [0.000, 0.000, 0.999], [0.500, 0.500, 0.834], [0.000, 0.000, 0.334], [0.197, 0.803, 0.501], [0.803, 0.197, 0.501], [0.303, 0.303, 0.001], [0.697, 0.697, 0.001], [0.199, 0.801, 0.168], [0.801, 0.199, 0.168], [0.301, 0.301, 0.668], [0.699, 0.699, 0.668], [0.800, 0.200, 0.831], [0.200, 0.800, 0.831], [0.700, 0.700, 0.331], [0.300, 0.300, 0.331]]
}

Entry 3:
{
  "formula": "NaAcTeI",
  "functional": "PBE-GGA",
  "state": "relaxed",
  "relative_energy_ev_per_atom": 0.000,
  "m_tot_mub_per_cell": 0.00,
  "total_energy_ev_per_atom": -3.72,
  "sg": "No. 160",
  "e_form_raw_ev_per_atom": -1.191,
  "lattice": [[-2.078, 2.005, -3.506], [1.869, -0.152, -4.137], [-4.143, -6.374, -4.131]],
  "species": ["Na", "Ac", "Te", "I"],
  "fractional_positions": [[0.118, 0.118, 0.646], [0.600, 0.600, 0.199], [0.852, 0.852, 0.443], [0.359, 0.359, 0.924]]
}

Entry 4:
{
  "formula": "NaAcTeI",
  "functional": "PBE-GGA",
  "state": "relaxed",
  "relative_energy_ev_per_atom": 0.135,
  "m_tot_mub_per_cell": 0.44,
  "total_energy_ev_per_atom": -3.59,
  "sg": "No. 216",
  "e_form_raw_ev_per_atom": -1.056,
  "lattice": [[-0.020, -4.969, 2.865], [0.432, -4.957, -2.854], [4.802, -3.115, 0.373]],
  "species": ["I", "Na", "Ac", "Te"],
  "fractional_positions": [[0.750, 0.750, 0.750], [0.000, 0.000, 0.000], [0.500, 0.500, 0.500], [0.250, 0.250, 0.250]]
}

Entry 5:
{
  "formula": "NaAcTl2I6",
  "functional": "PBE-GGA",
  "state": "relaxed",
  "m_tot_mub_per_cell": 0.00,
  "total_energy_ev_per_atom": -3.07,
  "sg": "No. 14",
  "e_form_raw_ev_per_atom": -1.129,
  "lattice": [[8.279, 0.000, 0.172], [0.000, 8.956, 0.000], [0.320, 0.000, 12.141]],
  "species": ["Na", "Na", "Ac", "Ac", "Tl", "Tl", "Tl", "Tl", "I", "I", "I", "I", "I", "I", "I", "I", "I", "I", "I", "I"],
  "fractional_positions": [[0.500, 0.000, 0.000], [0.000, 0.500, 0.500], [0.500, 0.000, 0.500], [0.000, 0.500, 0.000], [0.039, 0.904, 0.266], [0.539, 0.596, 0.766], [0.961, 0.096, 0.734], [0.461, 0.404, 0.234], [0.322, 0.688, 0.060], [0.822, 0.812, 0.560], [0.678, 0.312, 0.940], [0.178, 0.188, 0.440], [0.321, 0.691, 0.428], [0.821, 0.809, 0.928], [0.679, 0.309, 0.572], [0.179, 0.191, 0.072], [0.857, 0.545, 0.254], [0.357, 0.955, 0.754], [0.143, 0.455, 0.746], [0.643, 0.045, 0.246]]
}

Entry 6:
{
  "formula": "AcNbI2",
  "functional": "PBE-GGA",
  "state": "relaxed",
  "m_tot_mub_per_cell": 2.67,
  "total_energy_ev_per_atom": -4.22,
  "sg": "No. 166",
  "e_form_raw_ev_per_atom": 0.102,
  "lattice": [[-0.345, -2.743, -2.717], [-0.613, -3.685, 1.033], [-10.899, -0.477, -0.898]],
  "species": ["I", "I", "Ac", "Nb"],
  "fractional_positions": [[0.088, 0.088, 0.737], [0.912, 0.912, 0.263], [0.500, 0.500, 0.500], [0.000, 0.000, 0.000]]
}

Entry 7:
{
  "formula": "Ac2NbI",
  "functional": "PBE-GGA",
  "state": "relaxed",
  "m_tot_mub_per_cell": 1.11,
  "total_energy_ev_per_atom": -4.49,
  "sg": "No. 166",
  "e_form_raw_ev_per_atom": 0.465,
  "lattice": [[-2.391, 2.171, -1.739], [-2.322, -1.425, -2.455], [-9.478, -1.609, 7.156]],
  "species": ["I", "Ac", "Ac", "Nb"],
  "fractional_positions": [[0.500, 0.500, 0.500], [0.088, 0.088, 0.737], [0.912, 0.912, 0.263], [0.000, 0.000, 0.000]]
}

Entry 8:
{
  "formula": "AcNd2I",
  "functional": "PBE-GGA",
  "state": "relaxed",
  "relative_energy_ev_per_atom": 0.000,
  "m_tot_mub_per_cell": 0.00,
  "total_energy_ev_per_atom": -4.23,
  "sg": "No. 166",
  "e_form_raw_ev_per_atom": -0.430,
  "lattice": [[3.918, 0.000, 0.000], [1.959, 3.393, 0.000], [1.959, 1.131, 10.953]],
  "species": ["I", "Ac", "Nd", "Nd"],
  "fractional_positions": [[0.000, 0.000, 0.000], [0.500, 0.500, 0.500], [0.743, 0.743, 0.772], [0.257, 0.257, 0.228]]
}

Entry 9:
{
  "formula": "AcNdI2",
  "functional": "PBE-GGA",
  "state": "relaxed",
  "relative_energy_ev_per_atom": 0.086,
  "m_tot_mub_per_cell": 0.65,
  "total_energy_ev_per_atom": -3.82,
  "sg": "No. 166",
  "e_form_raw_ev_per_atom": -0.822,
  "lattice": [[4.022, 0.000, 0.000], [2.011, 3.483, 0.000], [2.011, 1.161, 11.327]],
  "species": ["I", "I", "Ac", "Nd"],
  "fractional_positions": [[0.100, 0.100, 0.699], [0.900, 0.900, 0.301], [0.000, 0.000, 0.000], [0.500, 0.500, 0.500]]
}

Entry 10:
{
  "formula": "AcNdI",
  "functional": "PBE-GGA",
  "state": "relaxed",
  "relative_energy_ev_per_atom": 0.068,
  "m_tot_mub_per_cell": 0.00,
  "total_energy_ev_per_atom": -3.97,
  "sg": "No. 107",
  "e_form_raw_ev_per_atom": -0.496,
  "lattice": [[3.892, 0.000, 0.000], [0.000, 3.892, 0.000], [-1.946, -1.946, 7.502]],
  "species": ["I", "Ac", "Nd"],
  "fractional_positions": [[0.323, 0.323, 0.647], [0.999, 0.999, 0.998], [0.677, 0.677, 0.355]]
}

Entry 11:
{
  "formula": "AcNdI4",
  "functional": "PBE-GGA",
  "state": "relaxed",
  "relative_energy_ev_per_atom": 0.000,
  "m_tot_mub_per_cell": 0.00,
  "total_energy_ev_per_atom": -3.82,
  "sg": "No. 10",
  "e_form_raw_ev_per_atom": -1.304,
  "lattice": [[4.328, 0.000, 0.000], [0.000, 7.279, -1.977], [0.000, -0.125, 8.645]],
  "species": ["Ac", "Nd", "I", "I", "I", "I"],
  "fractional_positions": [[0.000, 0.500, 0.500], [0.500, 0.000, 0.500], [0.000, 0.235, 0.748], [0.000, 0.765, 0.252], [0.500, 0.762, 0.758], [0.500, 0.238, 0.242]]
}

Entry 12:
{
  "formula": "AcNdI2",
  "functional": "PBE-GGA",
  "state": "relaxed",
  "relative_energy_ev_per_atom": 0.000,
  "m_tot_mub_per_cell": 0.00,
  "total_energy_ev_per_atom": -3.90,
  "sg": "No. 160",
  "e_form_raw_ev_per_atom": -0.907,
  "lattice": [[-3.992, 0.081, 0.429], [-1.930, -3.212, 1.443], [-0.898, 2.507, 9.963]],
  "species": ["Ac", "Nd", "I", "I"],
  "fractional_positions": [[0.665, 0.665, 0.005], [0.501, 0.501, 0.496], [0.089, 0.089, 0.733], [0.245, 0.245, 0.266]]
}

Entry 13:
{
  "formula": "AcNdI4",
  "functional": "PBE-GGA",
  "state": "relaxed",
  "relative_energy_ev_per_atom": 0.054,
  "m_tot_mub_per_cell": 0.00,
  "total_energy_ev_per_atom": -3.76,
  "sg": "No. 15",
  "e_form_raw_ev_per_atom": -1.250,
  "lattice": [[-7.423, 2.306, 0.186], [0.856, -7.219, 2.858], [4.624, 6.068, 7.201]],
  "species": ["Ac", "Ac", "Nd", "Nd", "I", "I", "I", "I", "I", "I", "I", "I"],
  "fractional_positions": [[0.308, 0.558, 0.116], [0.692, 0.442, 0.884], [0.802, 0.052, 0.103], [0.198, 0.948, 0.897], [0.312, 0.061, 0.646], [0.077, 0.838, 0.154], [0.166, 0.415, 0.354], [0.422, 0.683, 0.846], [0.688, 0.939, 0.354], [0.834, 0.585, 0.646], [0.923, 0.162, 0.846], [0.578, 0.317, 0.154]]
}

Entry 14:
{
  "formula": "AcNd2I",
  "functional": "PBE-GGA",
  "state": "relaxed",
  "relative_energy_ev_per_atom": 0.095,
  "m_tot_mub_per_cell": 0.00,
  "total_energy_ev_per_atom": -4.13,
  "sg": "No. 123",
  "e_form_raw_ev_per_atom": -0.336,
  "lattice": [[-3.621, 0.975, 0.692], [-0.316, -2.910, 2.445], [2.985, 5.862, 7.363]],
  "species": ["I", "Ac", "Nd", "Nd"],
  "fractional_positions": [[0.500, 0.500, 0.500], [0.500, 0.500, 0.000], [0.000, 0.000, 0.734], [0.000, 0.000, 0.266]]
}

Entry 15:
{
  "formula": "AcNdI",
  "functional": "PBE-GGA",
  "state": "relaxed",
  "relative_energy_ev_per_atom": 0.000,
  "m_tot_mub_per_cell": 0.44,
  "total_energy_ev_per_atom": -4.04,
  "sg": "No. 156",
  "e_form_raw_ev_per_atom": -0.564,
  "lattice": [[-2.836, -2.860, 0.382], [2.502, -0.044, -3.179], [5.319, -4.705, 4.253]],
  "species": ["I", "Ac", "Nd"],
  "fractional_positions": [[0.333, 0.667, 0.649], [0.000, 0.000, 0.995], [0.667, 0.333, 0.356]]
}

Entry 16:
{
  "formula": "AcNd2I",
  "functional": "PBE-GGA",
  "state": "relaxed",
  "relative_energy_ev_per_atom": 0.050,
  "m_tot_mub_per_cell": 0.00,
  "total_energy_ev_per_atom": -4.18,
  "sg": "No. 160",
  "e_form_raw_ev_per_atom": -0.381,
  "lattice": [[3.915, 0.000, 0.001], [1.957, 3.391, 0.001], [1.960, 1.132, 11.054]],
  "species": ["Ac", "Nd", "Nd", "I"],
  "fractional_positions": [[0.500, 0.500, 0.500], [0.075, 0.075, 0.775], [0.258, 0.258, 0.225], [0.667, 0.667, 0.000]]
}

Entry 17:
{
  "formula": "AcNdI6",
  "functional": "PBE-GGA",
  "state": "relaxed",
  "m_tot_mub_per_cell": 0.00,
  "total_energy_ev_per_atom": -3.70,
  "sg": "No. 148",
  "e_form_raw_ev_per_atom": -1.425,
  "lattice": [[7.935, 0.011, 0.010], [3.959, 6.876, 0.015], [3.955, 2.286, 7.268]],
  "species": ["Ac", "Nd", "I", "I", "I", "I", "I", "I"],
  "fractional_positions": [[0.000, 0.000, 0.000], [0.500, 0.500, 0.500], [0.089, 0.424, 0.745], [0.741, 0.089, 0.745], [0.576, 0.259, 0.255], [0.259, 0.911, 0.255], [0.911, 0.576, 0.255], [0.424, 0.741, 0.745]]
}

Entry 18:
{
  "formula": "AcNdNiI",
  "functional": "PBE-GGA",
  "state": "relaxed",
  "m_tot_mub_per_cell": 0.00,
  "total_energy_ev_per_atom": -4.73,
  "sg": "No. 160",
  "e_form_raw_ev_per_atom": -0.677,
  "lattice": [[-3.454, -2.356, 0.713], [1.406, 0.556, -3.962], [6.626, -5.413, 1.592]],
  "species": ["Ac", "Nd", "Ni", "I"],
  "fractional_positions": [[0.516, 0.156, 0.687], [0.093, 0.944, 0.052], [0.311, 0.554, 0.879], [0.959, 0.377, 0.351]]
}

Entry 19:
{
  "formula": "Ac2NdIO8",
  "functional": "PBE-GGA",
  "state": "relaxed",
  "m_tot_mub_per_cell": 0.00,
  "total_energy_ev_per_atom": -6.74,
  "sg": "No. 65",
  "e_form_raw_ev_per_atom": -2.222,
  "lattice": [[-1.551, 0.396, 5.122], [-3.651, -3.829, -0.923], [4.852, -5.077, 1.860]],
  "species": ["Ac", "Ac", "Nd", "I", "O", "O", "O", "O", "O", "O", "O", "O"],
  "fractional_positions": [[0.500, 0.500, 0.757], [0.500, 0.500, 0.243], [0.000, 0.000, 0.500], [0.000, 0.000, 0.000], [0.170, 0.830, 0.198], [0.748, 0.749, 0.000], [0.830, 0.170, 0.197], [0.830, 0.170, 0.802], [0.252, 0.251, 0.000], [0.170, 0.830, 0.803], [0.695, 0.695, 0.500], [0.305, 0.305, 0.500]]
}

Entry 20:
{
  "formula": "AcNdOsI",
  "functional": "PBE-GGA",
  "state": "relaxed",
  "m_tot_mub_per_cell": 0.00,
  "total_energy_ev_per_atom": -5.91,
  "sg": "No. 160",
  "e_form_raw_ev_per_atom": -0.491,
  "lattice": [[-1.378, -3.606, 1.856], [-0.604, 0.615, -4.196], [8.511, -1.449, -1.436]],
  "species": ["Ac", "Nd", "Os", "I"],
  "fractional_positions": [[0.515, 0.155, 0.686], [0.093, 0.944, 0.053], [0.310, 0.553, 0.878], [0.959, 0.378, 0.352]]
}

Result set for V: 45.9, 49.2, 36.8, 33.4, 45.0, 34.8, 34.3, 36.4, 39.7, 37.9, 45.2, 35.1, 44.8, 35.9, 39.1, 36.7, 49.5, 32.5, 17.4, 33.4 Å³ per atom, one per record in the order listed.